Entry 1:
Below is an optimized crystal structure of Er2Mo2C3, with properties calculated at the PBE level.

* total moment: 0.00 Bohr magnetons per cell
* N(E_F): 1.9 states/eV/f.u.
* ΔH_f (0 K): -384 meV per atom
* energy: -8.735 eV/atom

```
Er2Mo2C3
1.0
5.826 -1.664 0.000
5.826 1.664 0.000
-2.117 0.000 5.276
Er Mo C
2 2 3
direct
0.111 0.111 0.327
0.889 0.889 0.673
0.343 0.343 0.173
0.657 0.657 0.827
0.253 0.253 0.765
0.500 0.500 0.500
0.747 0.747 0.235
```

---

Entry 2:
Below is an optimized crystal structure of Rb4Hg2Se, with properties calculated at the PBE level.

* total moment: 0.00 Bohr magnetons per cell
* formation energy from raw total energies: -0.4549 eV per atom
* N(E_F): 3.7 states/eV/f.u.
* energy: -1.592 eV/atom

```
Rb4Hg2Se
1.0
-3.388 3.388 8.753
3.388 -3.388 8.753
3.388 3.388 -8.753
Rb Hg Se
4 2 1
direct
0.000 0.500 0.500
0.187 0.187 0.000
0.500 0.000 0.500
0.813 0.813 0.000
0.405 0.405 0.000
0.595 0.595 0.000
0.000 0.000 0.000
```